The following is a DFT calculation (PBE-GGA) of Pm4GeSCl2 after structural relaxation.

Summary:
The calculation puts the total magnetization at 0.00 μB/f.u. The space-group type is No. 10. Its uncorrected formation energy is -1.4928 eV per atom.

Lattice parameters (Å, degrees): 7.101 4.177 7.308 90.00 109.78 90.00
Atoms (fractional coordinates):
Pm  0.228  0.000  0.215
Pm  0.248  0.500  0.778
Pm  0.752  0.500  0.222
Pm  0.772  0.000  0.785
Ge  0.500  0.000  0.000
S  0.000  0.500  0.000
Cl  0.000  0.000  0.500
Cl  0.500  0.500  0.500

The following is a DFT calculation (PBE-GGA) of UPaTeAs after structural relaxation.

Summary:
The calculation puts the total magnetization at 5.01 μB/f.u. The space-group type is No. 216. Its uncorrected formation energy is -0.5535 eV per atom.

Lattice parameters (Å, degrees): 5.162 5.162 5.162 60.00 60.00 60.00
Atoms (fractional coordinates):
U  0.000  0.000  0.000
Pa  0.500  0.500  0.500
Te  0.750  0.750  0.750
As  0.250  0.250  0.250

The following is a DFT calculation (PBE-GGA) of TaAlCd2 after structural relaxation.

Summary:
The calculation puts the total magnetization at 0.00 μB/f.u. The space-group type is No. 35. For the formation energy, the calculation gives 0.090 eV/atom.

Lattice parameters (Å, degrees): 2.914 2.914 9.126 90.00 90.00 94.67
Atoms (fractional coordinates):
Ta  0.000  0.000  0.000
Al  0.500  0.500  0.214
Cd  0.000  0.000  0.470
Cd  0.500  0.500  0.747

The following is a DFT calculation (PBE-GGA) of CdGa3Br12 after structural relaxation.

Summary:
The calculation puts the total magnetization at 1.26 μB/f.u. The space-group type is No. 161. Its uncorrected formation energy is -0.6955 eV per atom.

Lattice parameters (Å, degrees): 12.680 12.680 12.680 56.68 56.68 56.68
Atoms (fractional coordinates):
Cd  0.000  0.000  0.000
Cd  0.500  0.500  0.500
Ga  0.138  0.365  0.674
Ga  0.174  0.865  0.638
Ga  0.365  0.674  0.138
Ga  0.638  0.174  0.865
Ga  0.674  0.138  0.365
Ga  0.865  0.638  0.174
Br  0.029  0.254  0.909
Br  0.045  0.739  0.722
Br  0.084  0.493  0.096
Br  0.096  0.084  0.493
Br  0.190  0.858  0.823
Br  0.222  0.239  0.545
Br  0.239  0.545  0.222
Br  0.254  0.909  0.029
Br  0.323  0.358  0.690
Br  0.358  0.690  0.323
Br  0.409  0.754  0.529
Br  0.493  0.096  0.084
Br  0.529  0.409  0.754
Br  0.545  0.222  0.239
Br  0.584  0.596  0.993
Br  0.596  0.993  0.584
Br  0.690  0.323  0.358
Br  0.722  0.045  0.739
Br  0.739  0.722  0.045
Br  0.754  0.529  0.409
Br  0.823  0.190  0.858
Br  0.858  0.823  0.190
Br  0.909  0.029  0.254
Br  0.993  0.584  0.596

The following is a DFT calculation (PBE-GGA) of PaReN after structural relaxation.

Summary:
The calculation puts the total magnetization at 0.00 μB/f.u. The space-group type is No. 156. Its uncorrected formation energy is -0.2089 eV per atom.

Lattice parameters (Å, degrees): 3.028 3.028 5.625 90.00 90.00 120.00
Atoms (fractional coordinates):
Pa  0.000  0.000  0.000
Re  0.333  0.667  0.519
N  0.667  0.333  0.315

The following is a DFT calculation (PBE-GGA) of Sr3TlO after structural relaxation.

Summary:
The calculation puts the total magnetization at 0.00 μB/f.u. The space-group type is No. 63. Its uncorrected formation energy is -1.0630 eV per atom.

Lattice parameters (Å, degrees): 7.493 7.493 7.893 90.00 90.00 118.66
Atoms (fractional coordinates):
Sr  0.000  0.000  0.000
Sr  0.000  0.000  0.500
Sr  0.040  0.457  0.250
Sr  0.457  0.040  0.750
Sr  0.543  0.960  0.250
Sr  0.960  0.543  0.750
Tl  0.456  0.544  0.750
Tl  0.544  0.456  0.250
O  0.109  0.891  0.750
O  0.891  0.109  0.250

The following is a DFT calculation (PBE-GGA) of Sr4CeCd5 after structural relaxation.

Summary:
The calculation puts the total magnetization at 1.18 μB/f.u. The space-group type is No. 123. For the formation energy, the calculation gives -0.284 eV/atom.

Lattice parameters (Å, degrees): 3.979 3.979 20.290 90.00 90.00 90.00
Atoms (fractional coordinates):
Sr  0.000  0.000  0.102
Sr  0.000  0.000  0.306
Sr  0.000  0.000  0.694
Sr  0.000  0.000  0.898
Ce  0.000  0.000  0.500
Cd  0.500  0.500  0.000
Cd  0.500  0.500  0.204
Cd  0.500  0.500  0.411
Cd  0.500  0.500  0.589
Cd  0.500  0.500  0.796

The following is a DFT calculation (PBE-GGA) of ZrScCl2 after structural relaxation.

Summary:
The calculation puts the total magnetization at 0.00 μB/f.u. The space-group type is No. 35. Its uncorrected formation energy is -1.1468 eV per atom.

Lattice parameters (Å, degrees): 3.255 3.255 9.538 90.00 90.00 106.64
Atoms (fractional coordinates):
Zr  0.000  0.000  0.000
Sc  0.500  0.500  0.249
Cl  0.000  0.000  0.423
Cl  0.500  0.500  0.815